1.
# TmMo, optimized geometry, DFT PBE
data_TmMo
_chemical_formula_sum 'Tm2 Mo2'
_cell_length_a 4.9323
_cell_length_b 4.9323
_cell_length_c 4.7356
_cell_angle_alpha 90.00
_cell_angle_beta 90.00
_cell_angle_gamma 120.00
_space_group_name_H-M_alt 'P 63/m m c'
_space_group_IT_number 194
_space_group_name_Hall '-P 6c 2c'
loop_
_atom_site_label
_atom_site_fract_x
_atom_site_fract_y
_atom_site_fract_z
Tm1 0.3333 0.6667 0.2500
Mo1 0.0000 0.0000 0.0000
# formation energy from the elements: 109 kJ/mol of formula units
# calculated total energy: -7.099 eV per atom
# spin magnetization: 0.00 μB/f.u.
# distance to the lowest polymorph of the same formula: 0.0 kJ/mol of atoms

2.
# K4SbPPt2, optimized geometry, DFT PBE
data_K4SbPPt2
_chemical_formula_sum 'K8 Sb2 P2 Pt4'
_cell_length_a 5.8740
_cell_length_b 10.2189
_cell_length_c 7.8794
_cell_angle_alpha 90.00
_cell_angle_beta 90.00
_cell_angle_gamma 90.00
_space_group_name_H-M_alt 'A m m 2'
_space_group_IT_number 38
_space_group_name_Hall 'A 2 -2'
loop_
_atom_site_label
_atom_site_fract_x
_atom_site_fract_y
_atom_site_fract_z
K1 0.0000 0.1691 0.0000
K2 0.5000 0.1800 0.6923
Sb1 0.0000 0.0000 0.6039
P1 0.5000 0.0000 0.1004
Pt1 0.2448 0.0000 0.3210
# calculated total energy: -3.685 eV per atom
# spin magnetization: 1.04 μB/f.u.

3.
# NdEr2Bi3, optimized geometry, DFT PBE
data_NdEr2Bi3
_chemical_formula_sum 'Nd1 Er2 Bi3'
_cell_length_a 4.4751
_cell_length_b 4.4751
_cell_length_c 10.9911
_cell_angle_alpha 90.00
_cell_angle_beta 90.00
_cell_angle_gamma 120.00
_space_group_name_H-M_alt 'P -3 m 1'
_space_group_IT_number 164
_space_group_name_Hall '-P 3 2"'
loop_
_atom_site_label
_atom_site_fract_x
_atom_site_fract_y
_atom_site_fract_z
Nd1 0.0000 0.0000 0.0000
Er1 0.3333 0.6667 0.3373
Bi1 0.0000 0.0000 0.5000
Bi2 0.3333 0.6667 0.8242
# calculated total energy: -5.210 eV per atom
# spin magnetization: 0.00 μB/f.u.